Density functional theory data (PBE with a Hubbard U) for a relaxed structure of Sr2Mn2AlTlO7.

Computed properties:
final energy = -6.40 eV/atom
calculated volume = 14.07 A^3/atom
symmetry = P4/mmm (123)

```
Sr2Mn2AlTlO7
1.0
3.698 0.000 0.000
0.000 3.698 0.000
0.000 0.000 13.377
Sr Mn Al Tl O
2 2 1 1 7
direct
0.000 0.000 0.812
0.000 0.000 0.188
0.500 0.500 0.636
0.500 0.500 0.364
0.000 0.000 0.500
0.500 0.500 0.000
0.000 0.500 0.591
0.500 0.000 0.591
0.000 0.500 0.409
0.500 0.000 0.409
0.500 0.500 0.792
0.500 0.500 0.208
0.000 0.000 0.000
```